# 1
Compound: MgInGe2S6
Source: the Alexandria database
Functional: PBE
Structure: optimized geometry

## Properties
DOS at the Fermi energy: 3.47 states/eV/f.u.
Space group: C2/c
Formation energy from raw total energies: -490 meV/atom
DFT total energy: -4.323 eV/atom

Cell lengths 6.8127, 8.3697, 8.3697 Å; angles 82.59, 75.86, 75.86 degrees
Fractional positions:
Mg 0.2500 0.8960 0.1040
Mg 0.7500 0.1040 0.8960
In 0.2500 0.2895 0.7105
In 0.7500 0.7105 0.2895
Ge 0.2467 0.7969 0.6175
Ge 0.2533 0.3825 0.2031
Ge 0.7533 0.2031 0.3825
Ge 0.7467 0.6175 0.7969
S 0.1413 0.9774 0.8100
S 0.3587 0.1900 0.0226
S 0.8587 0.0226 0.1900
S 0.6413 0.8100 0.9774
S 0.3639 0.9149 0.3725
S 0.1361 0.6275 0.0851
S 0.6361 0.0851 0.6275
S 0.8639 0.3725 0.9149
S 0.0052 0.6717 0.5733
S 0.4948 0.4267 0.3283
S 0.9948 0.3283 0.4267
S 0.5052 0.5733 0.6717

# 2
Compound: Y2HoIn3Hg6
Source: the Alexandria database
Functional: PBE
Structure: optimized geometry

## Properties
DOS at the Fermi energy: 7.02 states/eV/f.u.
Space group: P4/mmm
DFT total energy: -2.354 eV/atom

Cell lengths 4.2225, 4.2225, 20.3190 Å; angles 90.00, 90.00, 90.00 degrees
Fractional positions:
Y 0.5000 0.5000 0.2161
Y 0.5000 0.5000 0.7839
Ho 0.5000 0.5000 0.5000
In 0.0000 0.0000 0.2782
In 0.0000 0.0000 0.7218
In 0.0000 0.0000 0.0000
Hg 0.0000 0.5000 0.6121
Hg 0.5000 0.0000 0.3879
Hg 0.5000 0.0000 0.6121
Hg 0.0000 0.0000 0.1366
Hg 0.0000 0.5000 0.3879
Hg 0.0000 0.0000 0.8634

# 3
Compound: ReHg3Sb
Source: the Alexandria database
Functional: PBE
Structure: optimized geometry

## Properties
DOS at the Fermi energy: 5.55 states/eV/f.u.
ΔE to the lowest computed polymorph: 0 meV per atom
Space group: Pm-3m
Formation energy from raw total energies: 1099 meV/atom
DFT total energy: -2.396 eV/atom

Cell lengths 5.2961, 5.2961, 5.2961 Å; angles 90.00, 90.00, 90.00 degrees
Last column: magnetic moment on the atom in μB.
Fractional positions:
Re 0.0000 0.0000 0.0000  1.90
Hg 0.0000 0.5000 0.0000  0.03
Hg 0.0000 0.0000 0.5000  0.06
Hg 0.5000 0.0000 0.0000  -0.01
Sb 0.5000 0.5000 0.5000  0.01

# 4
Compound: ScSiMo2
Source: the Alexandria database
Functional: PBE
Structure: optimized geometry

## Properties
DOS at the Fermi energy: 2.56 states/eV/f.u.
Space group: Cm
Formation energy from raw total energies: -152 meV/atom
DFT total energy: -8.506 eV/atom

Cell lengths 5.1631, 5.1631, 4.4212 Å; angles 65.29, 65.29, 37.73 degrees
Fractional positions:
Mo 0.0082 0.0082 0.9940
Mo 0.7351 0.7351 0.7641
Sc 0.4920 0.4920 0.5082
Si 0.2646 0.2646 0.2336

# 5
Compound: La2ScB
Source: the Alexandria database
Functional: PBE
Structure: optimized geometry

## Properties
DOS at the Fermi energy: 5.11 states/eV/f.u.
Space group: I-42d
DFT total energy: -5.466 eV/atom

Cell lengths 9.8061, 9.8061, 7.3256 Å; angles 47.99, 47.99, 90.00 degrees
Fractional positions:
Sc 0.0000 0.0000 0.0000
Sc 0.7500 0.2500 0.5000
B 0.5000 0.5000 0.0000
B 0.2500 0.7500 0.5000
La 0.4812 0.1250 0.2500
La 0.2688 0.6250 0.2500
La 0.3750 0.5188 0.7500
La 0.8750 0.7312 0.7500

# 6
Compound: Sb2RhBr
Source: the Alexandria database
Functional: PBE
Structure: optimized geometry

## Properties
DOS at the Fermi energy: 1.32 states/eV/f.u.
ΔE to the lowest computed polymorph: 0 meV per atom
Space group: C2/m
Formation energy from raw total energies: -332 meV/atom
DFT total energy: -4.649 eV/atom

Cell lengths 4.1254, 4.1254, 8.2880 Å; angles 104.55, 104.55, 59.99 degrees
Fractional positions:
Sb 0.8663 0.8663 0.1010
Sb 0.6337 0.6337 0.3990
Rh 0.2500 0.2500 0.2500
Br 0.7500 0.7500 0.7500

# 7
Compound: Pm4Ir2I
Source: the Alexandria database
Functional: PBE
Structure: optimized geometry

## Properties
DOS at the Fermi energy: 3.91 states/eV/f.u.
ΔE to the lowest computed polymorph: 79 meV per atom
Space group: C2/m
Formation energy from raw total energies: -681 meV/atom
DFT total energy: -6.149 eV/atom

Cell lengths 8.8270, 8.8271, 8.8132 Å; angles 120.03, 119.97, 90.04 degrees
Fractional positions:
Pm 0.8526 0.1468 0.2933
Pm 0.3975 0.6032 0.2068
Pm 0.8534 0.5592 0.7065
Pm 0.8532 0.1476 0.7066
Pm 0.4410 0.1467 0.2936
Pm 0.3966 0.1908 0.7934
Pm 0.3968 0.6025 0.7934
Pm 0.8090 0.6033 0.2064
Ir 0.6250 0.3750 0.7500
Ir 0.6250 0.8750 0.2500
Ir 0.6250 0.3750 0.2500
Ir 0.1250 0.3750 0.7500
I 0.2494 0.7499 0.5000
I 0.0006 0.0001 0.0000

# 8
Compound: Nb2IrC
Source: the Alexandria database
Functional: PBE
Structure: optimized geometry

## Properties
DOS at the Fermi energy: 2.73 states/eV/f.u.
Space group: I-42d
DFT total energy: -9.483 eV/atom

Cell lengths 7.6086, 7.6086, 5.7905 Å; angles 48.93, 48.93, 90.00 degrees
Fractional positions:
Nb 0.4961 0.1250 0.2500
Nb 0.2539 0.6250 0.2500
Nb 0.3750 0.5039 0.7500
Nb 0.8750 0.7461 0.7500
Ir 0.0000 0.0000 0.0000
Ir 0.7500 0.2500 0.5000
C 0.5000 0.5000 0.0000
C 0.2500 0.7500 0.5000

# 9
Compound: K2CdPt
Source: the Alexandria database
Functional: PBE
Structure: optimized geometry

## Properties
DOS at the Fermi energy: 1.06 states/eV/f.u.
ΔE to the lowest computed polymorph: 89 meV per atom
Space group: Imm2
DFT total energy: -2.346 eV/atom

Cell lengths 6.1359, 6.1359, 6.1359 Å; angles 136.45, 126.18, 71.63 degrees
Fractional positions:
Cd 0.3043 0.8043 0.5000
K 0.0207 0.0207 0.0000
K 0.7248 0.2248 0.5000
Pt 0.4502 0.4502 0.0000

# 10
Compound: InI2NF
Source: the Alexandria database
Functional: PBE
Structure: optimized geometry

## Properties
DOS at the Fermi energy: 11.71 states/eV/f.u.
ΔE to the lowest computed polymorph: 0 meV per atom
Space group: P4/mmm
Formation energy from raw total energies: 683 meV/atom
DFT total energy: -2.525 eV/atom

Cell lengths 6.0262, 6.0262, 4.0380 Å; angles 90.00, 90.00, 90.00 degrees
Last column: magnetic moment on the atom in μB.
Fractional positions:
I 0.0000 0.5000 0.0000  -0.37
I 0.5000 0.0000 0.0000  -0.37
N 0.0000 0.0000 0.5000  0.05
F 0.5000 0.5000 0.5000  -0.45
In 0.0000 0.0000 0.0000  0.00

# 11
Compound: TlSbP2S
Source: the Alexandria database
Functional: PBE
Structure: optimized geometry

## Properties
DOS at the Fermi energy: 5.41 states/eV/f.u.
ΔE to the lowest computed polymorph: 0 meV per atom
Space group: P4/mmm
Formation energy from raw total energies: 681 meV/atom
DFT total energy: -3.606 eV/atom

Cell lengths 5.1333, 5.1333, 5.1502 Å; angles 90.00, 90.00, 90.00 degrees
Last column: magnetic moment on the atom in μB.
Fractional positions:
Sb 0.0000 0.0000 0.0000  0.00
Tl 0.5000 0.5000 0.5000  0.00
S 0.0000 0.0000 0.5000  0.08
P 0.0000 0.5000 0.0000  0.16
P 0.5000 0.0000 0.0000  0.16

# 12
Compound: ZrTiAlRe
Source: the Alexandria database
Functional: PBE
Structure: optimized geometry

## Properties
DOS at the Fermi energy: 2.06 states/eV/f.u.
Space group: F-43m
DFT total energy: -8.482 eV/atom

Cell lengths 4.5985, 4.5985, 4.5985 Å; angles 60.00, 60.00, 60.00 degrees
Fractional positions:
Re 0.5000 0.5000 0.5000
Al 0.0000 0.0000 0.0000
Zr 0.7500 0.7500 0.7500
Ti 0.2500 0.2500 0.2500

# 13
Compound: Pr3MgSc
Source: the Alexandria database
Functional: PBE
Structure: optimized geometry

## Properties
DOS at the Fermi energy: 7.86 states/eV/f.u.
ΔE to the lowest computed polymorph: 0 meV per atom
Space group: C2/m
DFT total energy: -4.369 eV/atom

Cell lengths 3.5086, 8.3970, 11.5478 Å; angles 107.25, 98.74, 90.00 degrees
Fractional positions:
Pr 0.0184 0.2235 0.0368
Pr 0.9816 0.7765 0.9632
Pr 0.3727 0.9676 0.7454
Pr 0.6273 0.0324 0.2546
Pr 0.1781 0.4502 0.3562
Pr 0.8219 0.5498 0.6438
Mg 0.5778 0.6016 0.1557
Mg 0.4222 0.3984 0.8443
Sc 0.7367 0.8282 0.4735
Sc 0.2633 0.1718 0.5265

# 14
Compound: BaInPbF2
Source: the Alexandria database
Functional: PBE
Structure: optimized geometry

## Properties
DOS at the Fermi energy: 5.12 states/eV/f.u.
Space group: P4/mmm
Formation energy from raw total energies: -1067 meV/atom
DFT total energy: -3.489 eV/atom

Cell lengths 4.9568, 7.0164, 4.9568 Å; angles 90.00, 90.00, 90.00 degrees
Last column: magnetic moment on the atom in μB.
Fractional positions:
Pb 0.0000 0.0000 0.0000  0.01
F 0.0000 0.0000 0.5000  0.00
F 0.5000 0.0000 0.0000  0.00
Ba 0.0000 0.5000 0.0000  0.09
In 0.5000 0.5000 0.5000  0.12

# 15
Compound: V5Si4H
Source: the Alexandria database
Functional: PBE
Structure: optimized geometry

## Properties
DOS at the Fermi energy: 7.64 states/eV/f.u.
Space group: I4
DFT total energy: -7.161 eV/atom

Cell lengths 4.7563, 5.6744, 5.6744 Å; angles 79.88, 65.22, 65.22 degrees
Fractional positions:
V 0.8626 0.3425 0.9083
V 0.2051 0.9083 0.6575
V 0.7708 0.0917 0.3425
V 0.1134 0.6575 0.0917
V 0.4925 0.0000 0.0000
Si 0.4367 0.3950 0.7102
Si 0.8317 0.7102 0.6050
Si 0.1469 0.2898 0.3950
Si 0.5419 0.6050 0.2898
H 0.1088 0.0000 0.0000

# 16
Compound: Li7IBr5
Source: the Alexandria database
Functional: PBE
Structure: optimized geometry

## Properties
DOS at the Fermi energy: 0.69 states/eV/f.u.
Space group: Cmcm
Formation energy from raw total energies: -1278 meV/atom
DFT total energy: -3.071 eV/atom

Cell lengths 3.9261, 6.7538, 23.0473 Å; angles 90.00, 90.00, 106.90 degrees
Last column: magnetic moment on the atom in μB.
Fractional positions:
Li 0.4974 0.9947 0.2500  0.05
Li 0.5032 0.0064 0.7499  0.05
Li 0.6376 0.2752 0.0357  0.00
Li 0.3633 0.7266 0.9643  0.00
Li 0.3629 0.7258 0.5356  0.00
Li 0.6374 0.2748 0.4644  0.00
Li 0.1678 0.3355 0.1848  0.05
Li 0.8331 0.6662 0.8152  0.05
Li 0.8329 0.6657 0.6847  0.05
Li 0.1676 0.3352 0.3154  0.05
Li 0.9126 0.8251 0.1052  0.00
Li 0.0882 0.1764 0.8948  0.00
Li 0.0879 0.1758 0.6052  0.00
Li 0.9124 0.8249 0.3948  0.00
I 0.8156 0.6311 0.2501  0.04
I 0.1850 0.3700 0.7499  0.04
Br 0.0004 0.0008 0.0000  0.00
Br 0.7278 0.4556 0.9244  0.00
Br 0.2729 0.5459 0.0756  0.00
Br 0.5420 0.0840 0.3609  0.03
Br 0.4583 0.9167 0.6391  0.03
Br 0.0001 0.0002 0.5000  0.00
Br 0.2728 0.5456 0.4244  0.00
Br 0.7275 0.4550 0.5755  0.00
Br 0.4587 0.9174 0.8608  0.03
Br 0.5421 0.0842 0.1392  0.03

# 17
Compound: LaPm4Pt5
Source: the Alexandria database
Functional: PBE
Structure: optimized geometry

## Properties
DOS at the Fermi energy: 7.54 states/eV/f.u.
Space group: P4/mmm
DFT total energy: -6.493 eV/atom

Cell lengths 3.5841, 3.5841, 18.1612 Å; angles 90.00, 90.00, 90.00 degrees
Fractional positions:
La 0.0000 0.0000 0.0000
Pm 0.0000 0.0000 0.2030
Pm 0.0000 0.0000 0.4010
Pm 0.0000 0.0000 0.5990
Pm 0.0000 0.0000 0.7970
Pt 0.5000 0.5000 0.1058
Pt 0.5000 0.5000 0.3023
Pt 0.5000 0.5000 0.5000
Pt 0.5000 0.5000 0.6977
Pt 0.5000 0.5000 0.8942

# 18
Compound: Ac2In6Au
Source: the Alexandria database
Functional: PBE
Structure: optimized geometry

## Properties
DOS at the Fermi energy: 6.04 states/eV/f.u.
Space group: Amm2
DFT total energy: -3.430 eV/atom

Cell lengths 4.9305, 3.9904, 13.7696 Å; angles 90.00, 100.31, 90.00 degrees
Fractional positions:
Ac 0.3275 0.0000 0.6549
Ac 0.9998 0.0000 0.9996
In 0.7030 0.0000 0.4060
In 0.2186 0.5000 0.4372
In 0.1110 0.5000 0.2219
In 0.5919 0.0000 0.1838
In 0.4472 0.5000 0.8944
In 0.8874 0.5000 0.7748
Au 0.7827 0.5000 0.5654

# 19
Compound: CsTlBr3
Source: the Alexandria database
Functional: PBE
Structure: optimized geometry

## Properties
DOS at the Fermi energy: 9.35 states/eV/f.u.
Space group: Cmcm
Formation energy from raw total energies: -943 meV/atom
DFT total energy: -2.591 eV/atom

Cell lengths 15.7159, 15.7159, 5.4150 Å; angles 90.00, 90.00, 149.87 degrees
Fractional positions:
Cs 0.1123 0.8877 0.2500
Cs 0.8877 0.1123 0.7500
Tl 0.2708 0.7292 0.2500
Tl 0.7292 0.2708 0.7500
Br 0.9237 0.5296 0.2500
Br 0.4704 0.0763 0.2500
Br 0.5296 0.9237 0.7500
Br 0.0763 0.4704 0.7500
Br 0.0000 0.0000 0.0000
Br 0.0000 0.0000 0.5000

# 20
Compound: Sr2TiO
Source: the Alexandria database
Functional: PBE
Structure: optimized geometry

## Properties
DOS at the Fermi energy: 5.85 states/eV/f.u.
Space group: Fm-3m
Formation energy from raw total energies: 329 meV/atom
DFT total energy: -3.725 eV/atom

Cell lengths 5.3742, 5.3742, 5.3742 Å; angles 60.00, 60.00, 60.00 degrees
Last column: magnetic moment on the atom in μB.
Fractional positions:
Sr 0.2500 0.2500 0.2500  -0.18
Sr 0.7500 0.7500 0.7500  -0.18
O 0.0000 0.0000 0.0000  0.08
Ti 0.5000 0.5000 0.5000  -2.23